{
  "formula": "SrCo2Ni",
  "functional": "meta-GGA SCAN",
  "state": "single point on PBEsol structure",
  "sg": "Pmmm",
  "dft_energy_ev_per_atom": -17.54,
  "n_ef_per_ev_atom": 0.640,
  "crystal_system": "orthorhombic",
  "ef_ev_per_fu": 2.9,
  "cell": [[3.746, 0.000, 0.000], [0.000, 3.770, 0.000], [0.000, 0.000, 4.283]],
  "species": ["Sr", "Co", "Co", "Ni"],
  "fractional_positions": [[0.000, 0.000, 0.000], [0.000, 0.500, 0.500], [0.500, 0.000, 0.500], [0.500, 0.500, 0.000]]
}

***

{
  "formula": "Ta4CoNi",
  "functional": "meta-GGA SCAN",
  "state": "single point on PBEsol structure",
  "sg": "I422",
  "dft_energy_ev_per_atom": -50.20,
  "n_ef_per_ev_atom": 0.896,
  "crystal_system": "tetragonal",
  "ef_ev_per_fu": -1.4,
  "cell": [[6.109, 0.000, 0.000], [0.000, 6.109, 0.000], [0.000, 0.000, 4.864]],
  "species": ["Ta", "Ta", "Ta", "Ta", "Ta", "Ta", "Ta", "Ta", "Co", "Co", "Ni", "Ni"],
  "fractional_positions": [[0.160, 0.340, 0.250], [0.160, 0.660, 0.750], [0.340, 0.160, 0.750], [0.340, 0.840, 0.250], [0.660, 0.160, 0.250], [0.660, 0.840, 0.750], [0.840, 0.340, 0.750], [0.840, 0.660, 0.250], [0.000, 0.000, 0.500], [0.500, 0.500, 0.000], [0.000, 0.000, 0.000], [0.500, 0.500, 0.500]]
}